Entry 1:
3
Lattice="-1.624 1.624 4.577 1.624 -1.624 4.577 1.624 1.624 -4.577" Properties=species:S:1:pos:R:3 comment="ZrBeSe PBE-GGA optimized geometry" polymorph_energy_mev_per_atom=21 final_energy_ev_per_atom=-5.5915 total_magnetization_mub_per_cell=0.000 spacegroup="I4mm, No. 107" pbc="T T T"
Zr 0.000 0.000 0.000
Be 0.000 0.000 2.826
Se 0.000 0.000 6.334


Entry 2:
4
Lattice="5.652 0.000 0.000 0.000 5.652 0.000 0.000 0.000 3.405" Properties=species:S:1:pos:R:3 comment="Y2ZrBr PBE-GGA optimized geometry" polymorph_energy_mev_per_atom=292 final_energy_ev_per_atom=-5.9687 total_magnetization_mub_per_cell=0.000 spacegroup="P4/mmm, No. 123" pbc="T T T"
Y 0.000 2.826 0.000
Y 2.826 0.000 0.000
Zr 0.000 0.000 1.703
Br 2.826 2.826 1.703


Entry 3:
20
Lattice="9.166 0.000 0.000 0.000 9.166 0.000 0.000 0.000 3.036" Properties=species:S:1:pos:R:3 comment="Be2V2GeRu5 PBE-GGA optimized geometry" final_energy_ev_per_atom=-7.8986 e_form_ev_per_atom=-0.23 total_magnetization_mub_per_cell=0.000 spacegroup="P4/mbm, No. 127" pbc="T T T"
Be 1.147 3.436 0.000
Be 3.436 8.019 0.000
Be 5.730 1.147 0.000
Be 8.019 5.730 0.000
V 1.576 6.159 0.000
V 3.007 1.576 0.000
V 6.159 7.590 0.000
V 7.590 3.007 0.000
Ge 0.000 0.000 0.000
Ge 4.583 4.583 0.000
Ru 0.000 4.583 1.518
Ru 0.689 1.879 1.518
Ru 1.879 8.477 1.518
Ru 2.704 3.894 1.518
Ru 3.894 6.462 1.518
Ru 4.583 0.000 1.518
Ru 5.273 2.704 1.518
Ru 6.462 5.273 1.518
Ru 7.287 0.689 1.518
Ru 8.477 7.287 1.518


Entry 4:
16
Lattice="12.663 0.000 0.000 0.000 8.481 0.000 -4.602 0.000 9.920" Properties=species:S:1:pos:R:3 comment="Cs2KSb PBE-GGA optimized geometry" final_energy_ev_per_atom=-2.0182 total_magnetization_mub_per_cell=0.000 spacegroup="P2_1/c, No. 14" pbc="T T T"
Cs 1.885 2.121 0.959
Cs -0.416 2.120 5.919
Cs 1.250 5.956 3.674
Cs -1.051 6.765 8.634
Cs 9.112 1.716 1.286
Cs 6.811 2.524 6.246
Cs 8.477 6.361 4.001
Cs 6.176 6.360 8.961
K 4.964 8.480 2.951
K 3.097 0.001 6.970
K 5.398 4.239 2.010
K 2.663 4.241 7.911
Sb 1.002 1.299 9.585
Sb 3.302 2.941 4.625
Sb 4.758 5.540 5.296
Sb 7.059 7.182 0.335


Entry 5:
7
Lattice="-3.987 5.799 3.076 3.987 -5.799 3.076 3.987 5.799 -3.076" Properties=species:S:1:pos:R:3 comment="NdSmTm5 PBE-GGA optimized geometry" polymorph_energy_mev_per_atom=793 final_energy_ev_per_atom=-3.5552 e_form_ev_per_atom=0.99 total_magnetization_mub_per_cell=0.000 spacegroup="Imm2, No. 44" pbc="T T T"
Nd 0.000 0.000 0.000
Sm 0.000 5.799 1.584
Tm 3.987 0.000 1.427
Tm 3.987 -2.817 2.984
Tm 2.544 5.799 -0.030
Tm 1.443 0.000 3.046
Tm 3.987 2.817 2.984


Entry 6:
4
Lattice="0.000 4.073 4.073 4.073 0.000 4.073 4.073 4.073 0.000" Properties=species:S:1:pos:R:3 comment="SmEuDyHo PBE-GGA optimized geometry" final_energy_ev_per_atom=-5.8834 e_form_ev_per_atom=0.16 total_magnetization_mub_per_cell=7.448 spacegroup="F-43m, No. 216" pbc="T T T"
Sm 0.000 0.000 0.000
Eu 4.073 4.073 4.073
Dy 2.037 2.037 2.037
Ho 6.110 6.110 6.110